No. 1
# LuAlCu

A geometry-optimized LuAlCu structure (PBEsol, Alexandria via LeMat-Bulk).

Summary:
The size of the total moment is 0.000 μB per atom. The value obtained for the electronic total energy is -14.51 eV/f.u.

```
LuAlCu
1.0
5.2216 0.0311 -0.0197
-2.5119 4.5778 0.0197
2.5699 1.5901 4.2584
Lu Al Cu
2 2 2
direct
0.2500 0.3718 0.8782
0.7500 0.6282 0.1218
0.5000 0.0000 0.5000
0.0000 0.5000 0.5000
0.0000 0.0000 0.5000
0.5000 0.0000 0.0000
```


No. 2
# MgAl2Cu

A geometry-optimized MgAl2Cu structure (PBEsol, Alexandria via LeMat-Bulk).

Summary:
The size of the total moment is 0.000 μB per atom. The value obtained for the electronic total energy is -14.18 eV/f.u.

```
MgAl2Cu
1.0
-2.2824 -1.4323 1.1006
0.1790 -1.2148 2.6390
-3.5891 6.4715 4.8276
Al Cu Mg
2 1 1
direct
0.0035 0.0035 0.9896
0.7568 0.7568 0.7296
0.4957 0.4957 0.5130
0.2441 0.2441 0.2678
```


No. 3
# Mg2AlCu

A geometry-optimized Mg2AlCu structure (PBEsol, Alexandria via LeMat-Bulk).

Summary:
The size of the total moment is 0.000 μB per atom. The value obtained for the electronic total energy is -12.00 eV/f.u.

```
Mg2AlCu
1.0
-0.4174 -1.7329 2.5241
3.8597 1.1799 1.4484
-1.9482 4.9330 1.1731
Mg Al Cu
2 1 1
direct
0.0893 0.0000 0.1785
0.4229 0.5000 0.8459
0.8149 0.0000 0.6298
0.6919 0.5000 0.3837
```


No. 4
# MgAl2Cu

A geometry-optimized MgAl2Cu structure (PBEsol, Alexandria via LeMat-Bulk).

Summary:
The size of the total moment is 0.000 μB per atom. The value obtained for the electronic total energy is -14.33 eV/f.u.

```
MgAl2Cu
1.0
2.8180 0.0000 0.0000
0.0000 4.7483 0.0000
-1.4090 -2.3742 4.7597
Al Cu Mg
2 1 1
direct
0.7803 0.7803 0.5606
0.2197 0.2197 0.4394
0.5000 0.0000 0.0000
0.0000 0.5000 0.0000
```


Q: Which of these has the highest electronic total energy?
A: Mg2AlCu